No. 1
Entry from the Alexandria database: Ba4AgHg after structural relaxation (PBE).

Cell: 8.290 8.290 8.269 Å, 90.00 90.07 90.00°
Space group C2/m (No. 12)
One atom of each set of equivalent atoms:
1 Ba 0.250 0.250 0.247 [8 per cell]
2 Ag 0.000 0.000 0.500 [2 per cell]
3 Hg 0.000 0.500 0.000 [2 per cell]

As for the excess energy over the best structure of this formula in the dataset: 0.077 eV per atom. The calculation puts the spin magnetization at 0.00 μB per cell. Its crystal system is monoclinic. The calculated total energy is -24.0 eV for the cell shown.

***

No. 2
Entry from the Alexandria database: Er4IrRu after structural relaxation (PBE).

Cell: 6.765 6.763 6.761 Å, 90.00 90.40 90.00°
Space group P2_1/c (No. 14)
One atom of each set of equivalent atoms:
1 Er 0.164 0.166 0.168 [4 per cell]
2 Er 0.331 0.666 0.164 [4 per cell]
3 Ir 0.500 0.000 0.000 [2 per cell]
4 Ru 0.000 0.000 0.500 [2 per cell]

As for the excess energy over the best structure of this formula in the dataset: 0.089 eV per atom. The calculation puts the spin magnetization at 0.00 μB per cell. Its crystal system is monoclinic. The calculated total energy is -78.8 eV for the cell shown.

***

No. 3
Entry from the Alexandria database: DyCuAgRh after structural relaxation (PBE).

Cell: 6.594 6.594 6.594 Å, 90.00 90.00 90.00°
Space group F-43m (No. 216)
One atom of each set of equivalent atoms:
1 Dy 0.000 0.000 0.000 [4 per cell]
2 Cu 0.250 0.250 0.250 [4 per cell]
3 Ag 0.000 0.000 0.500 [4 per cell]
4 Rh 0.250 0.250 0.750 [4 per cell]

The calculation puts the spin magnetization at 0.00 μB per cell. Its crystal system is cubic. The calculated total energy is -79.6 eV for the cell shown.

***

Short version: energy relative to the elements = -0.19, -0.50, -0.25 eV per atom, in the order given.